(1)
A plane-wave DFT calculation with GGA-PBE was carried out for crystalline BaAs3Se at its relaxed geometry.

Calculated values
As for the spin magnetization: 1.69 μB/f.u. The total energy comes out at -2.482 eV/atom. For the uncorrected formation energy, the calculation gives 1389 meV/atom. The calculation puts the density of states at the Fermi level at 6.74 states/eV/cell. As for the offset from the most stable computed form: 1.397 eV/atom. Its mass density is 3.588 Mg/m³.

a = 5.888 Å, b = 5.888 Å, c = 5.888 Å
α = 90.00°, β = 90.00°, γ = 90.00°
Sites, in units of the cell vectors:
Ba 0.000 0.000 0.000
As 0.000 0.000 0.500
As 0.000 0.500 0.000
As 0.500 0.000 0.000
Se 0.500 0.500 0.500

=====

(2)
A plane-wave DFT calculation with GGA-PBE was carried out for crystalline Pm2SnHg5 at its relaxed geometry.

Calculated values
The value obtained for the energy of formation from the pure elements is -0.41 eV per atom. As for the spin magnetization: 0.00 μB/f.u. The total energy comes out at -2.288 eV/atom. The calculation puts the density of states at the Fermi level at 10.97 states/eV/cell. Its mass density is 11.435 Mg/m³.

a = 6.683 Å, b = 13.423 Å, c = 4.570 Å
α = 90.00°, β = 90.00°, γ = 90.00°
Sites, in units of the cell vectors:
Pm 0.231 0.121 0.000
Pm 0.269 0.621 0.000
Pm 0.731 0.379 0.000
Pm 0.769 0.879 0.000
Sn 0.000 0.000 0.500
Sn 0.500 0.500 0.500
Hg 0.000 0.500 0.500
Hg 0.023 0.750 0.500
Hg 0.233 0.371 0.000
Hg 0.267 0.871 0.000
Hg 0.477 0.250 0.500
Hg 0.500 0.000 0.500
Hg 0.523 0.750 0.500
Hg 0.733 0.129 0.000
Hg 0.767 0.629 0.000
Hg 0.977 0.250 0.500